Density functional theory data (PBEsol) for a geometry-optimized P3C structure.

total DFT energy (no corrections) = -0.4405 Ry/atom
energy above the lowest structure with this stoichiometry = 0.179 eV/atom
energy relative to the elements = 0.7610 eV per atom
space group = C2/m, No. 12
DOS at the Fermi energy = 1.188 states/eV per cell

Cell: 2.733 3.525 5.855 Å, 76.71 76.50 67.19°
Element x y z (fractional)
1 C 0.000 0.000 0.000
2 P 0.338 0.112 0.212
3 P 0.500 0.500 0.500
4 P 0.662 0.888 0.788



Density functional theory data (PBEsol) for a geometry-optimized Na2SiBSbO7 structure.

total DFT energy (no corrections) = -0.5012 Ry/atom
energy relative to the elements, uncorrected = -2.08 eV/atom
space group = P2_1/m, No. 11
DOS at the Fermi energy = 0.000 states/eV per cell

Cell: 5.374 6.578 9.493 Å, 90.00 94.10 90.00°
Element x y z (fractional)
1 O 0.316 0.750 0.954
2 O 0.189 0.448 0.340
3 O 0.811 0.948 0.660
4 O 0.873 0.750 0.416
5 O 0.684 0.250 0.046
6 O 0.534 0.250 0.796
7 O 0.189 0.052 0.340
8 O 0.811 0.552 0.660
9 O 0.958 0.250 0.848
10 O 0.042 0.750 0.152
11 O 0.574 0.250 0.475
12 O 0.127 0.250 0.584
13 O 0.426 0.750 0.525
14 O 0.466 0.750 0.204
15 B 0.275 0.750 0.088
16 B 0.725 0.250 0.912
17 Na 0.760 0.500 0.192
18 Na 0.760 0.000 0.192
19 Na 0.240 0.500 0.808
20 Na 0.240 0.000 0.808
21 Si 0.732 0.750 0.563
22 Si 0.268 0.250 0.437
23 Sb 0.212 0.750 0.348
24 Sb 0.788 0.250 0.652



The following volume values (in Å³ per cell) correspond, in order, to the records above: 49.9 334.7.